1.
A plane-wave DFT calculation with GGA-PBE was carried out for crystalline LiRhW at its relaxed geometry.

abc: 4.547 4.547 4.547
angles: 145.33 127.16 64.75
Positions (direct):
Li 0.003 0.003 0.000
W 0.334 0.334 0.000
Rh 0.663 0.663 0.000

Energy relative to the lowest polymorph listed for this composition = 2 kJ/mol of formula units
Energy = -7.289 eV/atom

2.
A plane-wave DFT calculation with GGA-PBE was carried out for crystalline Y8Cu2Hg at its relaxed geometry.

abc: 5.437 8.055 8.055
angles: 114.94 98.67 98.67
Positions (direct):
Cu 0.500 0.310 0.697
Cu 0.500 0.697 0.310
Y 0.406 0.920 0.669
Y 0.406 0.669 0.920
Y 0.000 0.768 0.238
Y 0.593 0.086 0.337
Y 0.806 0.616 0.616
Y 0.593 0.337 0.086
Y 0.000 0.238 0.768
Y 0.193 0.391 0.391
Hg 0.002 0.003 0.003

Energy = -5.528 eV/atom

3.
A plane-wave DFT calculation with GGA-PBE was carried out for crystalline VInSb3 at its relaxed geometry.

abc: 5.541 5.541 5.541
angles: 90.00 90.00 90.00
Positions (direct):
Sb 0.000 0.500 0.000
Sb 0.500 0.000 0.000
Sb 0.000 0.000 0.500
V 0.500 0.500 0.500
In 0.000 0.000 0.000

Energy relative to the lowest polymorph listed for this composition = 465 kJ/mol of formula units
Energy = -3.640 eV/atom
Formation energy (no corrections) = 1.20 eV per atom

4.
A plane-wave DFT calculation with GGA-PBE was carried out for crystalline LaAsBr at its relaxed geometry.

abc: 4.973 4.973 4.973
angles: 60.00 60.00 60.00
Positions (direct):
La 0.000 0.000 0.000
Br 0.750 0.750 0.750
As 0.500 0.500 0.500

Energy relative to the lowest polymorph listed for this composition = 160 kJ/mol of formula units
Energy = -4.471 eV/atom
Formation energy (no corrections) = -0.72 eV per atom

5.
A plane-wave DFT calculation with GGA-PBE was carried out for crystalline Tb2As3Rh5 at its relaxed geometry.

abc: 4.167 6.683 12.506
angles: 90.00 99.59 90.00
Positions (direct):
As 0.779 0.674 0.557
As 0.389 0.028 0.778
As 0.221 0.174 0.443
As 0.952 0.495 0.905
As 0.048 0.995 0.095
As 0.611 0.528 0.222
Rh 0.702 0.391 0.403
Rh 0.276 0.480 0.553
Rh 0.401 0.415 0.801
Rh 0.057 0.621 0.114
Rh 0.298 0.891 0.597
Rh 0.943 0.121 0.886
Rh 0.724 0.980 0.447
Rh 0.599 0.915 0.199
Rh 0.122 0.250 0.244
Rh 0.878 0.750 0.756
Tb 0.519 0.282 0.037
Tb 0.823 0.230 0.646
Tb 0.481 0.782 0.963
Tb 0.177 0.730 0.354

Energy = -6.795 eV/atom

6.
A plane-wave DFT calculation with GGA-PBE was carried out for crystalline TlSiAs at its relaxed geometry.

abc: 6.405 6.405 6.405
angles: 148.66 148.66 44.91
Positions (direct):
Tl 0.674 0.674 0.000
As 0.946 0.946 0.000
Si 0.380 0.380 0.000

Energy relative to the lowest polymorph listed for this composition = 46 kJ/mol of formula units
Energy = -3.908 eV/atom
Formation energy (no corrections) = 0.24 eV per atom

Question: energy of number 6 (TlSiAs)?
Answer: -3.908 eV/atom

What did the second record say?
A plane-wave DFT calculation with GGA-PBE was carried out for crystalline Y8Cu2Hg at its relaxed geometry.

abc: 5.437 8.055 8.055
angles: 114.94 98.67 98.67
Positions (direct):
Cu 0.500 0.310 0.697
Cu 0.500 0.697 0.310
Y 0.406 0.920 0.669
Y 0.406 0.669 0.920
Y 0.000 0.768 0.238
Y 0.593 0.086 0.337
Y 0.806 0.616 0.616
Y 0.593 0.337 0.086
Y 0.000 0.238 0.768
Y 0.193 0.391 0.391
Hg 0.002 0.003 0.003

Energy = -5.528 eV/atom

Question: Number 5 is which compound?
Answer: Tb2As3Rh5

Question: Which formula does entry 2 have?
Answer: Y8Cu2Hg